Record 1
AsOsBr2O: relaxed, PBE.

Values from the calculation:
Size of the total moment ... 0.031 μB/atom
Calculated total energy ... -3.440 eV/atom
E_form (uncorrected) ... 1.396 eV/atom

Structure (POSCAR):
```
AsOsBr2O
1.0
4.577 0.000 0.000
0.000 4.577 0.000
0.000 0.000 4.237
O Br As Os
1 2 1 1
Cartesian
0.000 0.000 0.000
0.000 2.288 0.000
2.288 0.000 0.000
0.000 0.000 2.119
2.288 2.288 2.119
```



Record 2
AsOsBr2O: relaxed, PBE.

Values from the calculation:
Size of the total moment ... 0.087 μB/atom
Calculated total energy ... -3.802 eV/atom
E_form (uncorrected) ... 1.035 eV/atom

Structure (POSCAR):
```
AsOsBr2O
1.0
5.126 0.000 0.000
0.000 5.126 0.000
0.000 0.000 4.674
Br O Os As
2 1 1 1
Cartesian
2.563 0.000 0.000
0.000 2.563 0.000
2.563 2.563 2.337
0.000 0.000 0.000
0.000 0.000 2.337
```



Record 3
AsP2BrO8: relaxed, PBE.

Values from the calculation:
Size of the total moment ... 0.000 μB/atom
Calculated total energy ... -6.170 eV/atom
E_form (uncorrected) ... -1.436 eV/atom

Structure (POSCAR):
```
AsP2BrO8
1.0
4.762 -0.064 -0.548
2.140 4.255 -0.548
-0.578 -0.351 8.787
O P As Br
8 2 1 1
Cartesian
5.145 3.124 2.194
4.493 1.258 0.709
0.890 0.540 8.127
5.434 3.299 -0.436
1.831 2.582 6.981
3.135 0.434 6.981
1.179 0.716 5.496
3.189 3.406 0.709
1.679 1.019 6.877
4.645 2.820 0.813
0.000 0.000 0.000
-0.289 -0.176 4.393
```



Record 4
AsP2BrO: relaxed, PBE.

Values from the calculation:
Size of the total moment ... 0.000 μB/atom
Calculated total energy ... -3.254 eV/atom
E_form (uncorrected) ... 1.166 eV/atom

Structure (POSCAR):
```
AsP2BrO
1.0
4.933 0.000 0.000
0.000 4.933 0.000
0.000 0.000 3.802
As P O Br
1 2 1 1
Cartesian
2.467 2.467 1.901
0.000 2.467 0.000
2.467 0.000 0.000
0.000 0.000 1.901
0.000 0.000 0.000
```



Record 5
AsPBr2O: relaxed, PBE.

Values from the calculation:
Size of the total moment ... 0.000 μB/atom
Calculated total energy ... -2.709 eV/atom
E_form (uncorrected) ... 0.963 eV/atom

Structure (POSCAR):
```
AsPBr2O
1.0
4.860 0.000 0.000
0.000 4.860 0.000
0.000 0.000 5.030
Br O P As
2 1 1 1
Cartesian
2.430 0.000 0.000
0.000 2.430 0.000
2.430 2.430 2.515
0.000 0.000 0.000
0.000 0.000 2.515
```



Record 6
AsPBr2O: relaxed, PBE.

Values from the calculation:
Size of the total moment ... 0.000 μB/atom
Calculated total energy ... -2.812 eV/atom
E_form (uncorrected) ... 0.860 eV/atom

Structure (POSCAR):
```
AsPBr2O
1.0
-1.869 -4.137 1.444
3.547 -2.350 -2.141
2.337 0.214 3.638
As Br O P
1 2 1 1
Cartesian
1.169 0.107 1.819
-0.934 -2.068 0.722
1.774 -1.175 -1.070
0.000 0.000 0.000
2.008 -3.136 1.471
```



Record 7
As2PBrO: relaxed, PBE.

Values from the calculation:
Size of the total moment ... 0.105 μB/atom
Calculated total energy ... -3.203 eV/atom
E_form (uncorrected) ... 1.065 eV/atom

Structure (POSCAR):
```
As2PBrO
1.0
-0.035 4.453 -1.869
-1.987 -1.716 -4.053
-4.509 0.758 1.890
As P Br O
2 1 1 1
Cartesian
-0.017 2.226 -0.934
-0.994 -0.858 -2.026
0.000 0.000 0.000
-2.254 0.379 0.945
-3.265 1.747 -2.016
```



Record 8
AsP2BrO: relaxed, PBE.

Values from the calculation:
Size of the total moment ... 0.000 μB/atom
Calculated total energy ... -3.871 eV/atom
E_form (uncorrected) ... 0.549 eV/atom

Structure (POSCAR):
```
AsP2BrO
1.0
4.947 0.000 0.000
0.000 3.737 0.000
0.000 0.000 4.947
P Br O As
2 1 1 1
Cartesian
0.000 0.000 2.473
2.473 0.000 0.000
2.473 1.869 2.473
0.000 1.869 0.000
0.000 0.000 0.000
```



Record 9
As2PBrO: relaxed, PBE.

Values from the calculation:
Size of the total moment ... 0.000 μB/atom
Calculated total energy ... -3.523 eV/atom
E_form (uncorrected) ... 0.745 eV/atom

Structure (POSCAR):
```
As2PBrO
1.0
4.444 0.000 0.000
0.000 4.444 0.000
0.000 0.000 4.607
As Br P O
2 1 1 1
Cartesian
2.222 0.000 0.000
0.000 2.222 0.000
0.000 0.000 2.304
2.222 2.222 2.304
0.000 0.000 0.000
```



Record 10
PaAsBrO6: relaxed, PBE.

Values from the calculation:
Size of the total moment ... 0.001 μB/atom
Calculated total energy ... -6.667 eV/atom
E_form (uncorrected) ... -1.604 eV/atom

Structure (POSCAR):
```
PaAsBrO6
1.0
-6.098 2.751 5.574
3.322 -3.247 5.237
4.061 4.397 -4.529
O As Br Pa
12 2 2 2
Cartesian
-1.866 1.110 4.212
2.761 2.847 -0.431
0.926 3.675 1.246
-1.476 1.053 6.714
4.738 0.915 2.685
0.359 0.226 5.036
-3.453 2.986 3.597
2.903 1.743 4.363
3.151 2.790 2.071
-1.618 2.158 1.919
-1.967 5.156 2.105
3.252 -1.255 4.177
-1.388 -0.248 5.405
-3.049 1.375 2.787
0.243 4.384 4.904
1.042 -0.483 1.379
-1.018 3.574 0.523
2.031 2.199 -2.264
```



Record 11
PaAsBrO4: relaxed, PBE.

Values from the calculation:
Size of the total moment ... 0.000 μB/atom
Calculated total energy ... -7.121 eV/atom
E_form (uncorrected) ... -2.028 eV/atom

Structure (POSCAR):
```
PaAsBrO4
1.0
6.332 0.189 -0.019
2.275 5.912 -0.019
1.727 1.224 6.650
O As Pa Br
8 2 2 2
Cartesian
8.291 4.279 5.699
5.343 3.787 5.228
6.836 4.845 2.973
3.550 0.919 0.913
4.991 3.537 1.383
2.043 3.046 0.913
6.784 6.406 5.699
3.498 2.479 3.638
3.598 2.550 1.845
6.736 4.774 4.767
3.633 2.575 5.784
6.702 4.750 0.828
9.858 6.987 5.023
0.476 0.337 1.588
```



Record 12
As2PbBrO: relaxed, PBE.

Values from the calculation:
Size of the total moment ... 0.896 μB/atom
Calculated total energy ... -2.763 eV/atom
E_form (uncorrected) ... 1.165 eV/atom

Structure (POSCAR):
```
As2PbBrO
1.0
-0.322 -5.011 2.501
-2.047 -2.227 -4.724
5.459 -1.240 -1.781
Br Pb As O
1 1 2 1
Cartesian
2.729 -0.620 -0.891
0.000 0.000 0.000
-0.161 -2.506 1.251
-1.024 -1.113 -2.362
1.545 -4.239 -2.002
```